1.
The following is a DFT calculation (PBE-GGA) of TbDyB2Ir2C2 after structural relaxation.

Cell: 3.7388 3.7388 7.7890 Å, 90.00 90.00 90.00°
Fractional positions:
B  0.5000  0.5000  0.3410
B  0.0000  0.0000  0.6593
C  0.5000  0.5000  0.1470
C  0.0000  0.0000  0.8536
Dy  0.0000  0.0000  0.1613
Ir  0.5000  0.0000  0.4998
Ir  0.0000  0.5000  0.4998
Tb  0.5000  0.5000  0.8381

total DFT energy (no corrections): -7.833 eV/atom

***

2.
The following is a DFT calculation (PBE-GGA) of Sm4B2C5 after structural relaxation.

Cell: 6.7810 6.7810 9.3921 Å, 130.83 130.83 32.38°
Fractional positions:
B  0.0284  0.0284  0.1560
B  0.9716  0.9716  0.8440
C  0.9021  0.9021  0.1246
C  0.1791  0.1791  0.2862
C  0.0000  0.0000  0.5000
C  0.8209  0.8209  0.7138
C  0.0979  0.0979  0.8754
Sm  0.7268  0.7268  0.1497
Sm  0.5774  0.5774  0.3965
Sm  0.4226  0.4226  0.6035
Sm  0.2732  0.2732  0.8503

total DFT energy (no corrections): -7.253 eV/atom

***

3.
The following is a DFT calculation (PBE-GGA) of BaSrIn2Pd4 after structural relaxation.

Cell: 4.6790 4.6790 10.1400 Å, 90.00 90.00 120.00°
Fractional positions:
Ba  0.0000  0.0000  0.0000
In  0.3333  0.6667  0.2624
In  0.3333  0.6667  0.7376
Pd  0.6667  0.3333  0.2038
Pd  0.0000  0.0000  0.3219
Pd  0.0000  0.0000  0.6781
Pd  0.6667  0.3333  0.7962
Sr  0.6667  0.3333  0.5000

total DFT energy (no corrections): -4.343 eV/atom

***

4.
The following is a DFT calculation (PBE-GGA) of NiAs2W after structural relaxation.

Cell: 4.4315 4.4315 4.4315 Å, 60.00 60.00 60.00°
Fractional positions:
As  0.0000  0.0000  0.0000
As  0.2500  0.2500  0.2500
Ni  0.7500  0.7500  0.7500
W  0.5000  0.5000  0.5000

total DFT energy (no corrections): -6.381 eV/atom

***

5.
The following is a DFT calculation (PBE-GGA) of CuReGe after structural relaxation.

Cell: 4.0719 4.0719 4.0719 Å, 60.00 60.00 60.00°
Fractional positions:
Cu  0.2500  0.2500  0.2500
Ge  0.0000  0.0000  0.0000
Re  0.7500  0.7500  0.7500

ΔE to the lowest computed polymorph: 0.0 meV per atom

***

6.
The following is a DFT calculation (PBE-GGA) of HoErGa2Pt4 after structural relaxation.

Cell: 4.3768 4.3768 9.0555 Å, 90.00 90.00 120.00°
Fractional positions:
Er  0.0000  0.0000  0.0000
Ga  0.3333  0.6667  0.2498
Ga  0.3333  0.6667  0.7502
Ho  0.6667  0.3333  0.5000
Pt  0.6667  0.3333  0.1630
Pt  0.0000  0.0000  0.3356
Pt  0.0000  0.0000  0.6644
Pt  0.6667  0.3333  0.8370

ΔE to the lowest computed polymorph: 0.0 meV per atom

***

7.
The following is a DFT calculation (PBE-GGA) of LiTeWAuS2 after structural relaxation.

Cell: 7.4869 7.4869 10.5773 Å, 90.00 90.00 154.30°
Last column: magnetic moment on the atom in μB.
Fractional positions:
Au  0.8673  0.1327  0.2500  0.07
Au  0.1327  0.8673  0.7500  0.07
Li  0.2274  0.7726  0.2500  0.01
Li  0.7726  0.2274  0.7500  0.01
S  0.8780  0.1220  0.0280  0.02
S  0.8780  0.1220  0.4720  0.02
S  0.1220  0.8780  0.5280  0.02
S  0.1220  0.8780  0.9720  0.02
Te  0.5704  0.4296  0.2500  0.00
Te  0.4296  0.5704  0.7500  0.00
W  0.5000  0.5000  0.0000  1.15
W  0.5000  0.5000  0.5000  1.14

total DFT energy (no corrections): -5.168 eV/atom

***

8.
The following is a DFT calculation (PBE-GGA) of PrEr2Sn3PdPt2 after structural relaxation.

Cell: 4.0557 7.5811 7.5811 Å, 120.58 90.00 90.00°
Fractional positions:
Er  0.0000  0.9993  0.4083
Er  0.0000  0.4083  0.9993
Pd  0.0000  0.0065  0.0065
Pr  0.0000  0.5883  0.5883
Pt  0.5000  0.6698  0.3254
Pt  0.5000  0.3254  0.6698
Sn  0.5000  0.7451  0.0027
Sn  0.5000  0.2546  0.2546
Sn  0.5000  0.0027  0.7451

total DFT energy (no corrections): -5.824 eV/atom

***

9.
The following is a DFT calculation (PBE-GGA) of AsOsPdO after structural relaxation.

Cell: 3.8625 3.8625 7.0539 Å, 90.00 90.00 90.00°
Fractional positions:
As  0.0000  0.5000  0.2649
As  0.5000  0.0000  0.7351
O  0.0000  0.0000  0.0000
O  0.5000  0.5000  0.0000
Os  0.5000  0.0000  0.1658
Os  0.0000  0.5000  0.8342
Pd  0.0000  0.0000  0.5000
Pd  0.5000  0.5000  0.5000

ΔE to the lowest computed polymorph: 478.0 meV per atom

***

10.
The following is a DFT calculation (PBE-GGA) of HfBeNi2 after structural relaxation.

Cell: 4.1564 4.1564 4.1564 Å, 60.00 60.00 60.00°
Fractional positions:
Be  0.5000  0.5000  0.5000
Hf  0.2500  0.2500  0.2500
Ni  0.0000  0.0000  0.0000
Ni  0.7500  0.7500  0.7500

total DFT energy (no corrections): -6.382 eV/atom